Entry 1:
Entry from Alexandria: an optimized crystal structure of KTcN2 (PBE).

Output
- E above lowest polymorph: 1242 meV/atom
- DOS(E_F): 9.60 states/eV/cell
- Energy relative to the elements, uncorrected: 104 kJ per mole of atoms

a = 3.156 Å, b = 3.156 Å, c = 23.106 Å
α = 90.00°, β = 90.00°, γ = 120.00°
Atoms (fractional coordinates):
1 K 0.000 0.000 0.000
2 K 0.333 0.667 0.667
3 K 0.667 0.333 0.333
4 Tc 0.000 0.000 0.500
5 Tc 0.333 0.667 0.167
6 Tc 0.667 0.333 0.833
7 N 0.000 0.000 0.421
8 N 0.000 0.000 0.579
9 N 0.333 0.667 0.088
10 N 0.333 0.667 0.246
11 N 0.667 0.333 0.754
12 N 0.667 0.333 0.912

---

Entry 2:
Entry from Alexandria: an optimized crystal structure of NdTh2Zr (PBE).

Output
- E above lowest polymorph: 137 meV/atom
- DOS(E_F): 18.92 states/eV/cell

a = 3.418 Å, b = 3.418 Å, c = 36.487 Å
α = 90.00°, β = 90.00°, γ = 120.00°
Atoms (fractional coordinates):
1 Nd 0.000 0.000 0.000
2 Nd 0.333 0.667 0.667
3 Nd 0.667 0.333 0.333
4 Th 0.000 0.000 0.091
5 Th 0.000 0.000 0.909
6 Th 0.333 0.667 0.576
7 Th 0.333 0.667 0.757
8 Th 0.667 0.333 0.243
9 Th 0.667 0.333 0.424
10 Zr 0.000 0.000 0.500
11 Zr 0.333 0.667 0.167
12 Zr 0.667 0.333 0.833

---

Entry 3:
Entry from Alexandria: an optimized crystal structure of Pu4ScGe5 (PBE).

Output
- DOS(E_F): 23.93 states/eV/cell
- E: -9.155 eV per atom

a = 3.210 Å, b = 3.210 Å, c = 20.568 Å
α = 90.00°, β = 90.00°, γ = 90.00°
Atoms (fractional coordinates):
1 Pu 0.000 0.000 0.102
2 Pu 0.000 0.000 0.306
3 Pu 0.000 0.000 0.694
4 Pu 0.000 0.000 0.898
5 Sc 0.000 0.000 0.500
6 Ge 0.500 0.500 0.000
7 Ge 0.500 0.500 0.204
8 Ge 0.500 0.500 0.408
9 Ge 0.500 0.500 0.592
10 Ge 0.500 0.500 0.796

---

Entry 4:
Entry from Alexandria: an optimized crystal structure of Pm6NdHo3 (PBE).

Output
- E above lowest polymorph: 0 meV/atom
- DOS(E_F): 29.86 states/eV/cell

a = 11.754 Å, b = 11.754 Å, c = 6.469 Å
α = 90.00°, β = 90.00°, γ = 130.81°
Atoms (fractional coordinates):
1 Pm 0.014 0.986 0.500
2 Pm 0.108 0.544 0.035
3 Pm 0.262 0.380 0.283
4 Pm 0.301 0.699 0.507
5 Pm 0.380 0.262 0.783
6 Pm 0.456 0.892 0.035
7 Pm 0.544 0.108 0.535
8 Pm 0.620 0.738 0.283
9 Pm 0.699 0.301 0.007
10 Pm 0.738 0.620 0.783
11 Pm 0.892 0.456 0.535
12 Pm 0.986 0.014 0.000
13 Nd 0.157 0.843 0.713
14 Nd 0.843 0.157 0.213
15 Ho 0.042 0.296 0.691
16 Ho 0.296 0.042 0.191
17 Ho 0.419 0.581 0.804
18 Ho 0.581 0.419 0.304
19 Ho 0.704 0.958 0.691
20 Ho 0.958 0.704 0.191

---

Entry 5:
Entry from Alexandria: an optimized crystal structure of SrSi2Pt2 (PBE).

Output
- DOS(E_F): 5.21 states/eV/cell
- Energy relative to the elements, uncorrected: -35 kJ per mole of atoms

a = 7.772 Å, b = 7.772 Å, c = 3.051 Å
α = 90.00°, β = 90.00°, γ = 90.00°
Atoms (fractional coordinates):
1 Sr 0.000 0.000 0.000
2 Sr 0.500 0.500 0.000
3 Si 0.132 0.368 0.000
4 Si 0.368 0.868 0.000
5 Si 0.632 0.132 0.000
6 Si 0.868 0.632 0.000
7 Pt 0.134 0.634 0.500
8 Pt 0.366 0.134 0.500
9 Pt 0.634 0.866 0.500
10 Pt 0.866 0.366 0.500

---

Entry 6:
Entry from Alexandria: an optimized crystal structure of K2TcAg (PBE).

Output
- E above lowest polymorph: 248 meV/atom
- DOS(E_F): 7.72 states/eV/cell

a = 3.222 Å, b = 3.222 Å, c = 36.202 Å
α = 90.00°, β = 90.00°, γ = 120.00°
Atoms (fractional coordinates):
1 K 0.000 0.000 0.000
2 K 0.000 0.000 0.220
3 K 0.333 0.667 0.667
4 K 0.333 0.667 0.886
5 K 0.667 0.333 0.333
6 K 0.667 0.333 0.553
7 Tc 0.000 0.000 0.746
8 Tc 0.333 0.667 0.413
9 Tc 0.667 0.333 0.079
10 Ag 0.000 0.000 0.473
11 Ag 0.333 0.667 0.139
12 Ag 0.667 0.333 0.806

---

Entry 7:
Entry from Alexandria: an optimized crystal structure of EuTlAg (PBE).

Output
- E above lowest polymorph: 0 meV/atom
- DOS(E_F): 10.08 states/eV/cell

a = 5.013 Å, b = 5.013 Å, c = 3.753 Å
α = 90.00°, β = 90.00°, γ = 120.00°
Atoms (fractional coordinates):
1 Eu 0.000 0.000 0.000
2 Tl 0.333 0.667 0.500
3 Ag 0.667 0.333 0.500

---

Entry 8:
Entry from Alexandria: an optimized crystal structure of Ce2NbAl3 (PBE).

Output
- DOS(E_F): 8.93 states/eV/cell
- E: -5.872 eV per atom

a = 5.708 Å, b = 5.708 Å, c = 5.708 Å
α = 58.19°, β = 58.19°, γ = 58.19°
Atoms (fractional coordinates):
1 Ce 0.133 0.133 0.133
2 Ce 0.867 0.867 0.867
3 Nb 0.500 0.500 0.500
4 Al 0.000 0.500 0.500
5 Al 0.500 0.000 0.500
6 Al 0.500 0.500 0.000

---

Entry 9:
Entry from Alexandria: an optimized crystal structure of CdAsNO2 (PBE).

Output
- DOS(E_F): 2.79 states/eV/cell
- Energy relative to the elements, uncorrected: -7 kJ per mole of atoms

a = 3.791 Å, b = 3.791 Å, c = 3.856 Å
α = 90.00°, β = 90.00°, γ = 90.00°
Atoms (fractional coordinates):
1 Cd 0.000 0.000 0.000
2 As 0.500 0.500 0.500
3 N 0.500 0.500 0.000
4 O 0.000 0.500 0.500
5 O 0.500 0.000 0.500

---

Entry 10:
Entry from Alexandria: an optimized crystal structure of Er2MnFe3 (PBE).

Output
- DOS(E_F): 6.35 states/eV/cell
- E: -7.344 eV per atom

a = 5.113 Å, b = 5.113 Å, c = 5.113 Å
α = 59.37°, β = 59.37°, γ = 59.37°
Atoms (fractional coordinates):
1 Er 0.124 0.124 0.124
2 Er 0.876 0.876 0.876
3 Mn 0.500 0.500 0.500
4 Fe 0.000 0.500 0.500
5 Fe 0.500 0.000 0.500
6 Fe 0.500 0.500 0.000

---

Entry 11:
Entry from Alexandria: an optimized crystal structure of ErThS2N (PBE).

Output
- DOS(E_F): 4.53 states/eV/cell
- Energy relative to the elements, uncorrected: -189 kJ per mole of atoms

a = 3.947 Å, b = 3.947 Å, c = 13.886 Å
α = 90.00°, β = 90.00°, γ = 90.00°
Atoms (fractional coordinates):
1 Er 0.250 0.250 0.116
2 Er 0.750 0.750 0.884
3 Th 0.250 0.250 0.589
4 Th 0.750 0.750 0.411
5 S 0.250 0.250 0.297
6 S 0.250 0.250 0.909
7 S 0.750 0.750 0.091
8 S 0.750 0.750 0.703
9 N 0.250 0.750 0.500
10 N 0.750 0.250 0.500

---

Entry 12:
Entry from Alexandria: an optimized crystal structure of HoF3 (PBE).

Output
- DOS(E_F): 0.00 states/eV/cell
- Energy relative to the elements, uncorrected: -401 kJ per mole of atoms

a = 6.194 Å, b = 6.881 Å, c = 4.701 Å
α = 90.00°, β = 90.00°, γ = 90.00°
Atoms (fractional coordinates):
1 Ho 0.135 0.250 0.042
2 Ho 0.365 0.750 0.542
3 Ho 0.635 0.250 0.458
4 Ho 0.865 0.750 0.958
5 F 0.033 0.750 0.375
6 F 0.162 0.563 0.852
7 F 0.162 0.937 0.852
8 F 0.338 0.063 0.352
9 F 0.338 0.437 0.352
10 F 0.467 0.250 0.875
11 F 0.533 0.750 0.125
12 F 0.662 0.563 0.648
13 F 0.662 0.937 0.648
14 F 0.838 0.063 0.148
15 F 0.838 0.437 0.148
16 F 0.967 0.250 0.625

---

Question: Look up the DOS(E_F) of the seventh one.
Answer: 10.08 states/eV/cell